Density functional theory data (PBE) for an optimized crystal structure of CoPH2Br.

a b c (Å): 3.5522 3.8725 6.2689
angles (deg): 101.77 91.42 116.84
Last column: nearest neighbours and their distance in Å.
Element x y z (fractional)
Co: 0.0573 0.2337 0.3926  2 H 1.48-1.49
H: 0.9587 0.0572 0.1519  1 Co 1.48
P: 0.3797 0.8738 0.3719  2 H 1.92-1.98
Br: 0.2979 0.6853 0.7497  1 Co 2.40, 2 H 2.56-2.59, 1 P 2.60
H: 0.8871 0.8974 0.5028  1 Co 1.49

Total DFT energy (no corrections) ... -4.135 eV per atom
N(E_F) ... 0.71 states/eV/cell

***

Density functional theory data (PBE) for an optimized crystal structure of CoPH2Br.

a b c (Å): 3.3631 3.3670 7.9755
angles (deg): 101.38 90.72 119.94
Last column: nearest neighbours and their distance in Å.
Element x y z (fractional)
Br: 0.0268 0.3431 0.9554  1 P 2.23
H: 0.4043 0.2989 0.3261  1 H 0.82
Co: 0.5519 0.4120 0.5476  2 H 1.74
P: 0.9285 0.1540 0.6684  3 Co 2.15-2.16, 1 Br 2.23
H: 0.5796 0.1994 0.3337  1 H 0.82

Total DFT energy (no corrections) ... -4.218 eV per atom
N(E_F) ... 0.48 states/eV/cell

***

Density functional theory data (PBE) for an optimized crystal structure of CoPH2Br.

a b c (Å): 3.4243 3.4281 8.5628
angles (deg): 81.43 79.13 60.05
Last column: nearest neighbours and their distance in Å.
Element x y z (fractional)
H: 0.8419 0.7587 0.6819  1 H 0.75
H: 0.7697 0.9230 0.7447  1 H 0.75
P: 0.2135 0.3279 0.3857  3 Co 2.19
Co: 0.5887 0.6823 0.2746  3 P 2.19
Br: 0.9937 0.0538 0.0820  3 Co 2.55-2.56

Total DFT energy (no corrections) ... -4.227 eV per atom
N(E_F) ... 2.78 states/eV/cell

***

Density functional theory data (PBE) for an optimized crystal structure of CoPH2Br.

a b c (Å): 3.4079 2.8249 6.7746
angles (deg): 90.00 90.00 90.00
Last column: nearest neighbours and their distance in Å.
Element x y z (fractional)
H: 0.0000 0.5000 0.3170  1 P 1.42
Co: 0.5000 0.0000 0.6165  1 H 1.46
P: 0.0000 0.5000 0.5263  1 H 1.42
Br: 0.5000 0.0000 0.9706  1 Co 2.40
H: 0.5000 0.0000 0.4007  1 Co 1.46

Total DFT energy (no corrections) ... -4.264 eV per atom
N(E_F) ... 2.81 states/eV/cell

***

Density functional theory data (PBE) for an optimized crystal structure of CoPH2Br.

a b c (Å): 3.4508 3.9642 6.6473
angles (deg): 88.24 75.09 64.27
Last column: nearest neighbours and their distance in Å.
Element x y z (fractional)
Co: 0.2611 0.5607 0.4147  2 H 1.56-1.57
H: 0.0752 0.6910 0.6540  1 H 0.91
H: 0.2145 0.4345 0.6424  1 H 0.91
P: 0.5972 0.9152 0.3887  3 Co 2.16-2.30, 1 H 2.35
Br: 0.5995 0.2275 0.0691  1 Co 2.42, 1 P 2.43

Total DFT energy (no corrections) ... -4.203 eV per atom
N(E_F) ... 0.72 states/eV/cell

***

Density functional theory data (PBE) for an optimized crystal structure of CoPH2Br.

a b c (Å): 7.0085 4.3821 4.4026
angles (deg): 90.00 92.47 90.00
Last column: nearest neighbours and their distance in Å.
Element x y z (fractional)
H: 0.6267 0.5000 0.4460  1 P 1.44
H: 0.8434 0.0000 0.1743  1 Br 1.47
Br: 0.9603 0.5000 0.9583  1 H 1.47
P: 0.4212 0.5000 0.4292  1 H 1.44
H: 0.8434 0.5000 0.6743  1 Br 1.47
H: 0.6267 0.0000 0.9460  1 P 1.44
Br: 0.9603 0.0000 0.4583  1 H 1.47
Co: 0.3174 0.5000 0.9259  4 P 2.30-2.33, 1 Br 2.51
P: 0.4212 0.0000 0.9292  1 H 1.44
Co: 0.3174 0.0000 0.4259  4 P 2.30-2.33, 1 Br 2.51

Total DFT energy (no corrections) ... -4.042 eV per atom
N(E_F) ... 6.07 states/eV/cell

***

Density functional theory data (PBE) for an optimized crystal structure of CoPH2Br.

a b c (Å): 3.5282 3.6063 5.7922
angles (deg): 89.44 85.59 69.86
Last column: nearest neighbours and their distance in Å.
Element x y z (fractional)
Co: 0.2574 0.3174 0.4772  2 H 1.62-1.71
H: 0.9360 0.6593 0.3385  1 P 1.58, 1 Co 1.62
Br: 0.4617 0.1428 0.0864  1 Co 2.35, 2 H 2.51
P: 0.8829 0.9551 0.5484  2 H 1.57-1.58
H: 0.0389 0.6033 0.7184  1 P 1.57, 1 Co 1.71

Total DFT energy (no corrections) ... -4.129 eV per atom
N(E_F) ... 1.53 states/eV/cell

***

Density functional theory data (PBE) for an optimized crystal structure of CoPH2Br.

a b c (Å): 5.7843 3.3003 7.0906
angles (deg): 90.00 110.43 90.00
Last column: nearest neighbours and their distance in Å.
Element x y z (fractional)
Br: 0.2921 0.0000 0.2419  1 Co 2.44, 3 H 2.56-2.60, 1 P 2.58
H: 0.8846 0.5000 0.0393  2 Co 1.68, 1 P 1.78
H: 0.8846 0.0000 0.5393  2 Co 1.68, 1 P 1.78
Br: 0.2921 0.5000 0.7419  1 Co 2.44, 3 H 2.56-2.60, 1 P 2.58
H: 0.0302 0.5000 0.3670  1 Co 1.48
H: 0.0302 0.0000 0.8670  1 Co 1.48
P: 0.7489 0.0000 0.2716  1 H 1.78
Co: 0.8753 0.5000 0.4942  1 H 1.48
Co: 0.8753 0.0000 0.9942  1 H 1.48
P: 0.7489 0.5000 0.7716  1 H 1.78

Total DFT energy (no corrections) ... -4.061 eV per atom
N(E_F) ... 1.58 states/eV/cell

***

Look up the total DFT energy (no corrections) of the first one.
-4.135 eV per atom